(1)
Material: LiTbTlPd
Method: DFT, PBE
State: relaxed

Properties
DOS(E_F) = 22.11 states/eV per cell
electronic total energy = -4.015 eV/atom
total moment = 0.00 μB per cell

Cell: 6.8554 6.8554 6.8554 Å, 90.00 90.00 90.00°
Closest atoms and distances in Å follow each position.
Atoms (fractional coordinates):
Li 0.0000 0.0000 0.0000  4 Tl 2.97, 4 Tb 2.97
Li 0.0000 0.5000 0.5000  4 Tl 2.97, 4 Tb 2.97
Li 0.5000 0.0000 0.5000  4 Tl 2.97, 4 Tb 2.97
Li 0.5000 0.5000 0.0000  4 Tl 2.97, 4 Tb 2.97
Tb 0.2500 0.2500 0.7500  4 Li 2.97, 4 Pd 2.97
Tb 0.2500 0.7500 0.2500  4 Li 2.97, 4 Pd 2.97
Tb 0.7500 0.2500 0.2500  4 Li 2.97, 4 Pd 2.97
Tb 0.7500 0.7500 0.7500  4 Li 2.97, 4 Pd 2.97
Tl 0.2500 0.2500 0.2500  4 Pd 2.97, 4 Li 2.97
Tl 0.2500 0.7500 0.7500  4 Li 2.97, 4 Pd 2.97
Tl 0.7500 0.2500 0.7500  4 Li 2.97, 4 Pd 2.97
Tl 0.7500 0.7500 0.2500  4 Li 2.97, 4 Pd 2.97
Pd 0.0000 0.0000 0.5000  4 Tb 2.97, 4 Tl 2.97
Pd 0.0000 0.5000 0.0000  4 Tb 2.97, 4 Tl 2.97
Pd 0.5000 0.0000 0.0000  4 Tb 2.97, 4 Tl 2.97
Pd 0.5000 0.5000 0.5000  4 Tb 2.97, 4 Tl 2.97

***

(2)
Material: Li2Tb2ZnPd5
Method: DFT, PBE
State: relaxed

Properties
DOS(E_F) = 10.82 states/eV per cell
electronic total energy = -4.680 eV/atom
total moment = 0.00 μB per cell

Cell: 9.5182 9.5182 3.6639 Å, 90.00 90.00 90.00°
Closest atoms and distances in Å follow each position.
Atoms (fractional coordinates):
Li 0.1203 0.3797 0.0000  6 Pd 2.45-2.54, 1 Tb 2.70
Li 0.3797 0.8797 0.0000  6 Pd 2.45-2.54, 1 Tb 2.70
Li 0.6203 0.1203 0.0000  6 Pd 2.45-2.54, 1 Tb 2.70
Li 0.8797 0.6203 0.0000  6 Pd 2.45-2.54, 1 Tb 2.70
Tb 0.1792 0.6792 0.0000  3 Li 2.70-2.91
Tb 0.3208 0.1792 0.0000  3 Li 2.70-2.91
Tb 0.6792 0.8208 0.0000  3 Li 2.70-2.91
Tb 0.8208 0.3208 0.0000  3 Li 2.70-2.91
Zn 0.0000 0.0000 0.0000  8 Pd 2.74
Zn 0.5000 0.5000 0.0000  8 Pd 2.74
Pd 0.0000 0.5000 0.5000  4 Li 2.45
Pd 0.0655 0.2039 0.5000  2 Li 2.54, 2 Zn 2.74
Pd 0.2039 0.9345 0.5000  2 Li 2.54, 2 Zn 2.74
Pd 0.2961 0.4345 0.5000  2 Li 2.54, 2 Zn 2.74
Pd 0.4345 0.7039 0.5000  2 Li 2.54, 2 Zn 2.74
Pd 0.5000 0.0000 0.5000  4 Li 2.45
Pd 0.5655 0.2961 0.5000  2 Li 2.54, 2 Zn 2.74
Pd 0.7039 0.5655 0.5000  2 Li 2.54, 2 Zn 2.74
Pd 0.7961 0.0655 0.5000  2 Li 2.54, 2 Zn 2.74
Pd 0.9345 0.7961 0.5000  2 Li 2.54, 2 Zn 2.74

***

(3)
Material: LiTbZnPd2
Method: DFT, PBE
State: relaxed

Properties
DOS(E_F) = 5.88 states/eV per cell
electronic total energy = -4.264 eV/atom
total moment = 0.00 μB per cell

Cell: 3.8234 3.8234 12.5296 Å, 90.00 90.00 90.00°
Closest atoms and distances in Å follow each position.
Atoms (fractional coordinates):
Li 0.0000 0.0000 0.0000  4 Pd 2.61, 4 Zn 2.70
Li 0.5000 0.5000 0.5000  4 Pd 2.61, 4 Zn 2.70
Tb 0.0000 0.5000 0.7500  8 Pd 3.03
Tb 0.5000 0.0000 0.2500  8 Pd 3.03
Zn 0.0000 0.0000 0.5000  4 Pd 2.61, 4 Li 2.70
Zn 0.5000 0.5000 0.0000  4 Pd 2.61, 4 Li 2.70
Pd 0.0000 0.5000 0.1416  2 Li 2.61, 2 Zn 2.61, 1 Pd 2.72
Pd 0.0000 0.5000 0.3584  2 Li 2.61, 2 Zn 2.61, 1 Pd 2.72
Pd 0.5000 0.0000 0.6416  2 Li 2.61, 2 Zn 2.61, 1 Pd 2.72
Pd 0.5000 0.0000 0.8584  2 Li 2.61, 2 Zn 2.61, 1 Pd 2.72

***

(4)
Material: LiTbZnPd
Method: DFT, PBE
State: relaxed

Properties
DOS(E_F) = 19.17 states/eV per cell
electronic total energy = -3.690 eV/atom
total moment = 0.02 μB per cell

Cell: 6.6417 6.6417 6.6417 Å, 90.00 90.00 90.00°
Closest atoms and distances in Å follow each position.
Atoms (fractional coordinates):
Li 0.0000 0.0000 0.0000  4 Tb 2.88, 4 Zn 2.88
Li 0.0000 0.5000 0.5000  4 Tb 2.88, 4 Zn 2.88
Li 0.5000 0.0000 0.5000  4 Tb 2.88, 4 Zn 2.88
Li 0.5000 0.5000 0.0000  4 Tb 2.88, 4 Zn 2.88
Tb 0.2500 0.2500 0.7500  4 Li 2.88, 4 Pd 2.88
Tb 0.2500 0.7500 0.2500  4 Li 2.88, 4 Pd 2.88
Tb 0.7500 0.2500 0.2500  4 Li 2.88, 4 Pd 2.88
Tb 0.7500 0.7500 0.7500  4 Li 2.88, 4 Pd 2.88
Zn 0.2500 0.2500 0.2500  4 Li 2.88, 4 Pd 2.88
Zn 0.2500 0.7500 0.7500  4 Li 2.88, 4 Pd 2.88
Zn 0.7500 0.2500 0.7500  4 Li 2.88, 4 Pd 2.88
Zn 0.7500 0.7500 0.2500  4 Li 2.88, 4 Pd 2.88
Pd 0.0000 0.0000 0.5000  4 Zn 2.88, 4 Tb 2.88
Pd 0.0000 0.5000 0.0000  4 Zn 2.88, 4 Tb 2.88
Pd 0.5000 0.0000 0.0000  4 Zn 2.88, 4 Tb 2.88
Pd 0.5000 0.5000 0.5000  4 Zn 2.88, 4 Tb 2.88

***

(5)
Material: LiTb2Zn2Pd5
Method: DFT, PBE
State: relaxed

Properties
DOS(E_F) = 9.42 states/eV per cell
electronic total energy = -4.605 eV/atom
total moment = 0.00 μB per cell

Cell: 9.6937 9.6937 3.7646 Å, 90.00 90.00 90.00°
Closest atoms and distances in Å follow each position.
Atoms (fractional coordinates):
Li 0.0000 0.0000 0.0000  8 Pd 2.79
Li 0.5000 0.5000 0.0000  8 Pd 2.79
Tb 0.1764 0.3236 0.0000  3 Zn 2.77-2.94, 2 Pd 3.06
Tb 0.3236 0.8236 0.0000  3 Zn 2.77-2.94, 2 Pd 3.06
Tb 0.6764 0.1764 0.0000  3 Zn 2.77-2.94, 2 Pd 3.06
Tb 0.8236 0.6764 0.0000  3 Zn 2.77-2.94, 2 Pd 3.06
Zn 0.1215 0.6215 0.0000  6 Pd 2.51-2.60, 1 Tb 2.77
Zn 0.3785 0.1215 0.0000  6 Pd 2.51-2.60, 1 Tb 2.77
Zn 0.6215 0.8785 0.0000  6 Pd 2.51-2.60, 1 Tb 2.77
Zn 0.8785 0.3785 0.0000  6 Pd 2.51-2.60, 1 Tb 2.77
Pd 0.0000 0.5000 0.5000  4 Zn 2.51
Pd 0.0679 0.7981 0.5000  2 Zn 2.60, 2 Li 2.79
Pd 0.2019 0.0679 0.5000  2 Zn 2.60, 2 Li 2.79
Pd 0.2981 0.5679 0.5000  2 Zn 2.60, 2 Li 2.79
Pd 0.4321 0.2981 0.5000  2 Zn 2.60, 2 Li 2.79
Pd 0.5000 0.0000 0.5000  4 Zn 2.51
Pd 0.5679 0.7019 0.5000  2 Zn 2.60, 2 Li 2.79
Pd 0.7019 0.4321 0.5000  2 Zn 2.60, 2 Li 2.79
Pd 0.7981 0.9321 0.5000  2 Zn 2.60, 2 Li 2.79
Pd 0.9321 0.2019 0.5000  2 Zn 2.60, 2 Li 2.79

***

(6)
Material: LiTcPd
Method: DFT, PBE
State: relaxed

Properties
DOS(E_F) = 10.27 states/eV per cell
electronic total energy = -5.796 eV/atom
energy relative to the lowest polymorph listed for this composition = 0.440 eV per formula unit
total moment = 0.00 μB per cell

Cell: 13.5456 2.7200 4.7033 Å, 90.00 90.00 90.00°
Closest atoms and distances in Å follow each position.
Atoms (fractional coordinates):
Li 0.1584 0.0000 0.0000  3 Pd 2.66, 6 Li 2.72, 3 Tc 2.82-2.83
Li 0.1584 0.5000 0.5000  3 Pd 2.66, 6 Li 2.72, 3 Tc 2.82-2.83
Li 0.8416 0.0000 0.0000  3 Pd 2.66, 6 Li 2.72, 3 Tc 2.82-2.83
Li 0.8416 0.5000 0.5000  3 Pd 2.66, 6 Li 2.72, 3 Tc 2.82-2.83
Tc 0.3320 0.0000 0.6642  6 Tc 2.72, 3 Pd 2.76, 3 Li 2.82-2.83
Tc 0.3320 0.5000 0.1642  6 Tc 2.72, 3 Pd 2.76, 3 Li 2.82-2.83
Tc 0.6680 0.0000 0.6642  6 Tc 2.72, 3 Pd 2.76, 3 Li 2.82-2.83
Tc 0.6680 0.5000 0.1642  6 Tc 2.72, 3 Pd 2.76, 3 Li 2.82-2.83
Pd 0.0000 0.0000 0.6654  6 Li 2.66, 6 Pd 2.72
Pd 0.0000 0.5000 0.1654  6 Li 2.66, 6 Pd 2.72
Pd 0.5000 0.0000 0.9976  6 Pd 2.72, 6 Tc 2.76
Pd 0.5000 0.5000 0.4976  6 Pd 2.72, 6 Tc 2.76